(1)
7
Lattice="-1.916 1.916 6.128 1.916 -1.916 6.128 1.916 1.916 -6.128" Properties=species:S:1:pos:R:3 comment="Li2BeCo4 | Alexandria via LeMat-Bulk | PBE | optimized geometry" space_group="No. 139" dos_at_fermi_per_ev_fu=10.88 pbc="T T T"
Li 0.000 0.000 1.680
Li 0.000 0.000 10.576
Be 0.000 0.000 6.128
Co 1.916 0.000 0.000
Co 0.000 0.000 4.132
Co 0.000 1.916 0.000
Co 0.000 0.000 8.124

(2)
4
Lattice="0.000 2.824 2.824 2.824 0.000 2.824 2.824 2.824 0.000" Properties=species:S:1:pos:R:3 comment="LiBeCoOs | Alexandria via LeMat-Bulk | PBE | optimized geometry" space_group="No. 216" dos_at_fermi_per_ev_fu=3.05 pbc="T T T"
Li 0.000 0.000 0.000
Be 1.412 1.412 1.412
Co 4.237 4.237 4.237
Os 2.824 2.824 2.824

(3)
5
Lattice="-1.814 1.814 4.700 1.814 -1.814 4.700 1.814 1.814 -4.700" Properties=species:S:1:pos:R:3 comment="LiBeCoP2 | Alexandria via LeMat-Bulk | PBE | optimized geometry" space_group="No. 119" dos_at_fermi_per_ev_fu=2.31 pbc="T T T"
Li 0.000 0.000 0.000
Be 0.000 1.814 2.350
Co 1.814 0.000 2.350
P 0.000 0.000 3.594
P 0.000 0.000 5.807

(4)
5
Lattice="3.973 0.000 0.000 0.000 3.973 0.000 0.000 0.000 4.191" Properties=species:S:1:pos:R:3 comment="Li2BeCoRu | Alexandria via LeMat-Bulk | PBE | optimized geometry" space_group="No. 123" dos_at_fermi_per_ev_fu=3.90 pbc="T T T"
Li 0.000 1.986 0.000
Li 1.986 0.000 0.000
Be 0.000 0.000 0.000
Co 1.986 1.986 2.096
Ru 0.000 0.000 2.096

(5)
4
Lattice="0.000 2.822 2.822 2.822 0.000 2.822 2.822 2.822 0.000" Properties=species:S:1:pos:R:3 comment="LiBeCoRu | Alexandria via LeMat-Bulk | PBE | optimized geometry" space_group="No. 216" dos_at_fermi_per_ev_fu=1.71 pbc="T T T"
Li 0.000 0.000 0.000
Be 1.411 1.411 1.411
Co 4.233 4.233 4.233
Ru 2.822 2.822 2.822

(6)
5
Lattice="4.054 0.000 0.000 0.000 4.054 0.000 0.000 0.000 4.549" Properties=species:S:1:pos:R:3 comment="LiBe2CoSe | Alexandria via LeMat-Bulk | PBE | optimized geometry" space_group="No. 123" formation_energy_uncorrected_kj_per_mol_fu=96 dos_at_fermi_per_ev_fu=2.57 pbc="T T T"
Li 0.000 0.000 0.000
Be 0.000 2.027 2.275
Be 2.027 0.000 2.275
Co 2.027 2.027 2.275
Se 2.027 2.027 0.000

no.,raw total energy (eV/atom)
1,-4.47
2,-5.89
3,-5.19
4,-4.09
5,-5.47
6,-3.79